1.
# TeRuPbC2

A relaxed structure of TeRuPbC2 (PBE, the Alexandria database).

abc: 4.174 4.174 6.179
angles: 90.00 90.00 90.00
Space group P4/mmm (No. 123)
Inequivalent atoms, fractional coordinates:
Te 0.000 0.000 0.000
Ru 0.000 0.000 0.500
Pb 0.500 0.500 0.000
C 0.000 0.500 0.500

Calculated values
Size of the total moment ... 0.00 μB/cell
Raw total energy ... -5.50 eV/atom
Fermi-level density of states ... 0.56 states/eV per atom
Formation energy (no corrections) ... 1416 meV per atom

***

2.
# Th3RuPbC

A relaxed structure of Th3RuPbC (PBE, the Alexandria database).

abc: 9.245 3.859 9.427
angles: 90.00 113.89 90.00
Space group P2_1/m (No. 11)
Inequivalent atoms, fractional coordinates:
Th 0.052 0.250 0.370
Th 0.211 0.250 0.958
Th 0.362 0.750 0.703
Ru 0.435 0.750 0.074
Pb 0.317 0.750 0.305
C 0.145 0.250 0.665

Calculated values
Size of the total moment ... 0.00 μB/cell
Raw total energy ... -7.75 eV/atom
Fermi-level density of states ... 0.89 states/eV per atom
Formation energy ... -0.341 eV/atom

***

Q: raw total energy of number 2 (Th3RuPbC)?
A: -7.75 eV/atom